A geometry-optimized RbCuB2F8 structure, computed with GGA-PBE.

Computed properties:
Formation energy without anion corrections: -3008.0 kJ/mol of formula units

Lattice parameters (Å, degrees): 5.0600 5.0600 8.2433 72.13 72.13 60.00
Last column: nearest neighbours and their distance in Å.
Sites, in units of the cell vectors:
F1 0.8062 0.8062 0.5815  1 B 1.43
F2 0.5433 0.2693 0.1756  1 B 1.42
F3 0.4567 0.7307 0.8244  1 B 1.42
F4 0.7307 0.9882 0.8244  1 B 1.42
F5 0.9882 0.4567 0.8244  1 B 1.42
F6 0.2693 0.0118 0.1756  1 B 1.42
F7 0.0118 0.5433 0.1756  1 B 1.42
F8 0.1938 0.1938 0.4185  1 B 1.43
Cu1 0.0000 0.0000 0.0000  6 F 2.30
B1 0.7445 0.7445 0.7664  4 F 1.42-1.43
B2 0.2555 0.2555 0.2336  4 F 1.42-1.43
Rb1 0.5000 0.5000 0.5000  12 F 2.99-3.14

---

A geometry-optimized TlCuB2F8 structure, computed with GGA-PBE.

Computed properties:
Formation energy without anion corrections: -2789.0 kJ/mol of formula units

Lattice parameters (Å, degrees): 5.0792 5.0792 8.2804 72.14 72.14 60.00
Last column: nearest neighbours and their distance in Å.
Sites, in units of the cell vectors:
F1 0.0147 0.5440 0.1739  1 B 1.42
F2 0.7326 0.9853 0.8261  1 B 1.42
F3 0.1946 0.1946 0.4161  1 B 1.43
F4 0.9853 0.4560 0.8261  1 B 1.42
F5 0.8054 0.8054 0.5839  1 B 1.43
F6 0.2674 0.0147 0.1739  1 B 1.42
F7 0.5440 0.2674 0.1739  1 B 1.42
F8 0.4560 0.7326 0.8261  1 B 1.42
Cu1 0.0000 0.0000 0.0000  6 F 2.30
Tl1 0.5000 0.5000 0.5000  12 F 3.00-3.17
B1 0.7439 0.7439 0.7684  4 F 1.42-1.43
B2 0.2561 0.2561 0.2316  4 F 1.42-1.43

---

A geometry-optimized TlCuBF6 structure, computed with GGA-PBE.

Computed properties:
Formation energy without anion corrections: -1884.1 kJ/mol of formula units

Lattice parameters (Å, degrees): 5.4966 6.0287 6.3713 103.47 99.92 49.50
Last column: nearest neighbours and their distance in Å.
Sites, in units of the cell vectors:
F1 0.1057 0.5228 0.6219  1 B 1.43
F2 0.7922 0.5156 0.2041  1 Cu 1.83
F3 0.3394 0.5838 0.3965  1 B 1.44
F4 0.6411 0.3072 0.6696  1 B 1.39
F5 0.4674 0.9109 0.7395  1 Cu 1.82
F6 0.4778 0.1236 0.3717  1 B 1.41
Tl1 0.1333 0.9611 0.0022  2 F 2.52-2.65
B1 0.3966 0.3778 0.5162  4 F 1.39-1.44
Cu1 0.6463 0.6972 0.4782  2 F 1.82-1.83

---

A geometry-optimized Fe3CuB structure, computed with GGA-PBE.

Computed properties:
Calculated formation energy: 0.86 eV/f.u.

Lattice parameters (Å, degrees): 3.8302 3.8302 3.8302 90.00 90.00 90.00
Last column: nearest neighbours and their distance in Å.
Sites, in units of the cell vectors:
Fe1 0.0000 0.0000 0.5000  2 B 1.92
Fe2 0.5000 0.0000 0.0000  2 B 1.92
Fe3 0.0000 0.5000 0.0000  2 B 1.92
Cu1 0.5000 0.5000 0.5000  12 Fe 2.71
B1 0.0000 0.0000 0.0000  6 Fe 1.92